# CaLaDyTh | Alexandria via LeMat-Bulk | PBE | optimized geometry
# * offset from the most stable computed form: 0.000 eV/atom
# * ΔE_f: 0.14 eV per formula unit
data_CaLaDyTh
_chemical_formula_sum 'Ca1 La1 Dy1 Th1'
_cell_length_a 3.666
_cell_length_b 3.666
_cell_length_c 10.556
_cell_angle_alpha 90.00
_cell_angle_beta 90.00
_cell_angle_gamma 90.00
_space_group_name_H-M_alt 'P 4 m m'
_space_group_IT_number 99
loop_
_space_group_symop_operation_xyz
'x,y,z'
'-y,x,z'
'-x,-y,z'
'y,-x,z'
'-x,y,z'
'y,x,z'
'x,-y,z'
'-y,-x,z'
loop_
_atom_site_label
_atom_site_type_symbol
_atom_site_fract_x
_atom_site_fract_y
_atom_site_fract_z
Ca1 Ca 0.000 0.000 0.000
La1 La 0.500 0.500 0.711
Dy1 Dy 0.500 0.500 0.263
Th1 Th 0.000 0.000 0.483